VASP calculation (PBE-GGA) on an optimized crystal structure of Sc6Hg5Ge.

Results
The calculation puts the formation energy from the elements at -0.4683 eV per atom. The value obtained for the total energy is -4.14 eV/atom.

a = 4.977 Å, b = 15.033 Å, c = 6.861 Å
α = 90.00°, β = 90.00°, γ = 90.00°
Space group Cmmm (No. 65)
Inequivalent atoms, fractional coordinates:
Sc: 0.000 0.000 0.236 x4
Sc: 0.000 0.340 0.247 x8
Hg: 0.000 0.169 0.500 x4
Hg: 0.000 0.178 0.000 x4
Hg: 0.000 0.500 0.500 x2
Ge: 0.000 0.500 0.000 x2



VASP calculation (PBE-GGA) on an optimized crystal structure of BiHPd4.

Results
As for the excess energy over the best structure of this formula in the dataset: 0.01 eV/f.u. The value obtained for the total energy is -4.83 eV/atom.

a = 7.556 Å, b = 9.877 Å, c = 5.062 Å
α = 90.00°, β = 107.18°, γ = 90.00°
Space group C2/c (No. 15)
Inequivalent atoms, fractional coordinates:
Bi: 0.000 0.132 0.250 x4
H: 0.000 0.488 0.250 x4
Pd: 0.098 0.375 0.551 x8
Pd: 0.200 0.127 0.856 x8



VASP calculation (PBE-GGA) on an optimized crystal structure of NaCaY2Pt.

Results
The calculation puts the formation energy from the elements at -0.3640 eV per atom. As for the excess energy over the best structure of this formula in the dataset: 0.00 eV/f.u. The value obtained for the total energy is -4.82 eV/atom.

a = 5.485 Å, b = 5.485 Å, c = 5.775 Å
α = 90.00°, β = 90.00°, γ = 90.00°
Space group P4/mmm (No. 123)
Inequivalent atoms, fractional coordinates:
Na: 0.000 0.000 0.000 x1
Ca: 0.500 0.500 0.000 x1
Y: 0.000 0.500 0.500 x2
Pt: 0.500 0.500 0.500 x1



VASP calculation (PBE-GGA) on an optimized crystal structure of KBa2AlSi.

Results
The formation energy (no corrections) is 0.060 eV per atom. The value obtained for the total energy is -2.76 eV/atom.

a = 6.556 Å, b = 6.556 Å, c = 4.972 Å
α = 90.00°, β = 90.00°, γ = 90.00°
Space group P4/mmm (No. 123)
Inequivalent atoms, fractional coordinates:
K: 0.000 0.000 0.000 x1
Ba: 0.000 0.500 0.500 x2
Al: 0.500 0.500 0.000 x1
Si: 0.500 0.500 0.500 x1



VASP calculation (PBE-GGA) on an optimized crystal structure of Tb12Th3In5.

Results
The calculation puts the formation energy from the elements at 0.5552 eV per atom. The value obtained for the total energy is -4.02 eV/atom.

a = 18.335 Å, b = 18.335 Å, c = 18.335 Å
α = 90.00°, β = 90.00°, γ = 90.00°
Space group Ia-3d (No. 230)
Inequivalent atoms, fractional coordinates:
Tb: 0.018 0.074 0.648 x96
Th: 0.000 0.250 0.125 x24
In: 0.000 0.000 0.000 x16
In: 0.000 0.250 0.375 x24



VASP calculation (PBE-GGA) on an optimized crystal structure of Cu4Ag.

Results
The calculation puts the formation energy from the elements at 0.0724 eV per atom. As for the excess energy over the best structure of this formula in the dataset: 0.00 eV/f.u. The value obtained for the total energy is -3.77 eV/atom.

a = 5.880 Å, b = 5.880 Å, c = 3.814 Å
α = 90.00°, β = 90.00°, γ = 90.00°
Space group I4/m (No. 87)
Inequivalent atoms, fractional coordinates:
Cu: 0.092 0.306 0.000 x8
Ag: 0.000 0.000 0.500 x2



VASP calculation (PBE-GGA) on an optimized crystal structure of Ca3ZrNi.

Results
The calculation puts the formation energy from the elements at 0.4429 eV per atom. As for the excess energy over the best structure of this formula in the dataset: 0.00 eV/f.u. The value obtained for the total energy is -3.62 eV/atom.

a = 5.372 Å, b = 5.372 Å, c = 5.372 Å
α = 90.00°, β = 90.00°, γ = 90.00°
Space group Pm-3m (No. 221)
Inequivalent atoms, fractional coordinates:
Ca: 0.000 0.000 0.500 x3
Zr: 0.500 0.500 0.500 x1
Ni: 0.000 0.000 0.000 x1



VASP calculation (PBE-GGA) on an optimized crystal structure of NpU6S8.

Results
The formation energy (no corrections) is -1.385 eV per atom. As for the excess energy over the best structure of this formula in the dataset: 0.00 eV/f.u. The value obtained for the total energy is -8.96 eV/atom.

a = 10.896 Å, b = 10.896 Å, c = 10.896 Å
α = 90.00°, β = 90.00°, γ = 90.00°
Space group Fm-3m (No. 225)
Inequivalent atoms, fractional coordinates:
Np: 0.000 0.000 0.000 x4
U: 0.000 0.250 0.250 x24
S: 0.000 0.000 0.255 x24
S: 0.250 0.250 0.250 x8



VASP calculation (PBE-GGA) on an optimized crystal structure of Al2AgMo.

Results
The calculation puts the formation energy from the elements at -0.0755 eV per atom. As for the excess energy over the best structure of this formula in the dataset: 0.13 eV/f.u. The value obtained for the total energy is -5.37 eV/atom.

a = 9.917 Å, b = 2.865 Å, c = 4.720 Å
α = 90.00°, β = 108.25°, γ = 90.00°
Space group Cm (No. 8)
Inequivalent atoms, fractional coordinates:
Al: 0.000 0.000 0.000 x2
Al: 0.246 0.500 0.381 x2
Ag: 0.496 0.000 0.504 x2
Mo: 0.257 0.000 0.894 x2



VASP calculation (PBE-GGA) on an optimized crystal structure of HgP2PtS.

Results
The formation energy (no corrections) is 0.698 eV per atom. As for the excess energy over the best structure of this formula in the dataset: 0.16 eV/f.u. The value obtained for the total energy is -3.56 eV/atom.

a = 4.603 Å, b = 4.603 Å, c = 5.353 Å
α = 90.00°, β = 90.00°, γ = 90.00°
Space group P4/mmm (No. 123)
Inequivalent atoms, fractional coordinates:
Hg: 0.000 0.000 0.000 x1
P: 0.000 0.500 0.500 x2
Pt: 0.000 0.000 0.500 x1
S: 0.500 0.500 0.000 x1



VASP calculation (PBE-GGA) on an optimized crystal structure of MgOs3Pb.

Results
The calculation puts the formation energy from the elements at 2.1749 eV per atom. As for the excess energy over the best structure of this formula in the dataset: 0.00 eV/f.u. The value obtained for the total energy is -5.62 eV/atom.

a = 4.569 Å, b = 4.569 Å, c = 4.569 Å
α = 90.00°, β = 90.00°, γ = 90.00°
Space group Pm-3m (No. 221)
Inequivalent atoms, fractional coordinates:
Mg: 0.000 0.000 0.000 x1
Os: 0.000 0.000 0.500 x3
Pb: 0.500 0.500 0.500 x1



VASP calculation (PBE-GGA) on an optimized crystal structure of CaTbPrSm.

Results
The calculation puts the formation energy from the elements at 0.1268 eV per atom. As for the excess energy over the best structure of this formula in the dataset: 0.33 eV/f.u. The value obtained for the total energy is -3.91 eV/atom.

a = 8.275 Å, b = 8.275 Å, c = 8.275 Å
α = 90.00°, β = 90.00°, γ = 90.00°
Space group F-43m (No. 216)
Inequivalent atoms, fractional coordinates:
Ca: 0.000 0.000 0.000 x4
Tb: 0.000 0.000 0.500 x4
Pr: 0.250 0.250 0.750 x4
Sm: 0.250 0.250 0.250 x4



| no. | DOS(E_F) (states/eV/f.u.) |
| --- | --- |
| 1 | 11.94 |
| 2 | 3.22 |
| 3 | 3.40 |
| 4 | 3.86 |
| 5 | 33.33 |
| 6 | 1.70 |
| 7 | 9.11 |
| 8 | 30.60 |
| 9 | 2.17 |
| 10 | 3.57 |
| 11 | 4.08 |
| 12 | 6.93 |